{"formula": "DyAl2In", "functional": "GGA-PBE", "state": "relaxed", "sg": "P4/mmm", "e_tot_ev_per_atom": -4.082, "density_g_cm3": 6.497, "cell": [[-2.583, 3.424, -0.407], [-3.198, -2.606, -1.624], [-1.537, -0.671, 4.104]], "species": ["In", "Al", "Al", "Dy"], "fractional_positions": [[0.500, 0.000, 0.000], [0.000, 0.000, 0.500], [0.000, 0.500, 0.000], [0.500, 0.500, 0.500]]}